(1)
# Nd3DyY12 | Alexandria via LeMat-Bulk | GGA-PBE | optimized geometry
data_Nd3DyY12
_cell_length_a 5.0760
_cell_length_b 5.0760
_cell_length_c 20.3169
_cell_angle_alpha 90.00
_cell_angle_beta 90.00
_cell_angle_gamma 90.00
_space_group_name_H-M_alt 'P 4/m m m'
_space_group_IT_number 123
_space_group_name_Hall '-P 4 2'
loop_
_atom_site_label
_atom_site_type_symbol
_atom_site_fract_x
_atom_site_fract_y
_atom_site_fract_z
Nd1 Nd 0.0000 0.0000 0.0000
Nd2 Nd 0.0000 0.0000 0.2508
Dy1 Dy 0.0000 0.0000 0.5000
Y1 Y 0.0000 0.5000 0.1256
Y2 Y 0.0000 0.5000 0.3767
Y3 Y 0.5000 0.5000 0.0000
Y4 Y 0.5000 0.5000 0.2514
Y5 Y 0.5000 0.5000 0.5000
# Fermi-level density of states   23.738 states/eV/f.u.
# Energy of formation   2 kJ/mol of atoms

---

(2)
# La2Tm2Tl | Alexandria via LeMat-Bulk | GGA-PBE | optimized geometry
data_La2Tm2Tl
_cell_length_a 5.1644
_cell_length_b 5.1644
_cell_length_c 25.2864
_cell_angle_alpha 90.00
_cell_angle_beta 90.00
_cell_angle_gamma 120.00
_space_group_name_H-M_alt 'R -3 m'
_space_group_IT_number 166
_space_group_name_Hall '-R 3 2"'
loop_
_atom_site_label
_atom_site_type_symbol
_atom_site_fract_x
_atom_site_fract_y
_atom_site_fract_z
La1 La 0.0000 0.0000 0.0638
Tm1 Tm 0.0000 0.0000 0.1989
Tl1 Tl 0.0000 0.0000 0.5000
# Fermi-level density of states   8.715 states/eV/f.u.
# Energy of formation   39 kJ/mol of atoms

---

(3)
# LaYMo2 | Alexandria via LeMat-Bulk | GGA-PBE | optimized geometry
data_LaYMo2
_cell_length_a 7.1115
_cell_length_b 7.1115
_cell_length_c 7.1115
_cell_angle_alpha 90.00
_cell_angle_beta 90.00
_cell_angle_gamma 90.00
_space_group_name_H-M_alt 'F m -3 m'
_space_group_IT_number 225
_space_group_name_Hall '-F 4 2 3'
loop_
_atom_site_label
_atom_site_type_symbol
_atom_site_fract_x
_atom_site_fract_y
_atom_site_fract_z
La1 La 0.0000 0.0000 0.0000
Y1 Y 0.0000 0.0000 0.5000
Mo1 Mo 0.2500 0.2500 0.2500
# Fermi-level density of states   6.520 states/eV/f.u.
# Energy of formation   67 kJ/mol of atoms

---

(4)
# AcDyCuS4 | Alexandria via LeMat-Bulk | GGA-PBE | optimized geometry
data_AcDyCuS4
_cell_length_a 6.7654
_cell_length_b 5.7649
_cell_length_c 8.2038
_cell_angle_alpha 90.00
_cell_angle_beta 107.27
_cell_angle_gamma 90.00
_space_group_name_H-M_alt 'P 1 21/m 1'
_space_group_IT_number 11
_space_group_name_Hall '-P 2yb'
loop_
_atom_site_label
_atom_site_type_symbol
_atom_site_fract_x
_atom_site_fract_y
_atom_site_fract_z
Ac1 Ac 0.2367 0.2500 0.4338
Dy1 Dy 0.2349 0.2500 0.9373
Cu1 Cu 0.2559 0.7500 0.1840
S1 S 0.0679 0.7500 0.3745
S2 S 0.0683 0.7500 0.9038
S3 S 0.4841 0.5127 0.7661
# Fermi-level density of states   1.875 states/eV/f.u.
# ΔE_f (raw)   -10.8 eV/f.u.

---

(5)
# UZn3Pt3 | Alexandria via LeMat-Bulk | GGA-PBE | optimized geometry
data_UZn3Pt3
_cell_length_a 6.8110
_cell_length_b 6.8110
_cell_length_c 6.8110
_cell_angle_alpha 90.00
_cell_angle_beta 90.00
_cell_angle_gamma 90.00
_space_group_name_H-M_alt 'P m -3 n'
_space_group_IT_number 223
_space_group_name_Hall '-P 4n 2 3'
loop_
_atom_site_label
_atom_site_type_symbol
_atom_site_fract_x
_atom_site_fract_y
_atom_site_fract_z
U1 U 0.0000 0.0000 0.0000
Zn1 Zn 0.0000 0.2500 0.5000
Pt1 Pt 0.0000 0.5000 0.2500
# Fermi-level density of states   3.974 states/eV/f.u.
# Energy of formation   19 kJ/mol of atoms

---

(6)
# YReW3 | Alexandria via LeMat-Bulk | GGA-PBE | optimized geometry
data_YReW3
_cell_length_a 4.8277
_cell_length_b 4.8277
_cell_length_c 4.8277
_cell_angle_alpha 90.00
_cell_angle_beta 90.00
_cell_angle_gamma 90.00
_space_group_name_H-M_alt 'P m -3 m'
_space_group_IT_number 221
_space_group_name_Hall '-P 4 2 3'
loop_
_atom_site_label
_atom_site_type_symbol
_atom_site_fract_x
_atom_site_fract_y
_atom_site_fract_z
Y1 Y 0.0000 0.0000 0.0000
Re1 Re 0.5000 0.5000 0.5000
W1 W 0.0000 0.5000 0.5000
# Fermi-level density of states   4.665 states/eV/f.u.
# Energy of formation   138 kJ/mol of atoms

---

(7)
# Li2CdOs | Alexandria via LeMat-Bulk | GGA-PBE | optimized geometry
data_Li2CdOs
_cell_length_a 2.9687
_cell_length_b 4.4845
_cell_length_c 9.4490
_cell_angle_alpha 90.00
_cell_angle_beta 90.00
_cell_angle_gamma 90.00
_space_group_name_H-M_alt 'C m m m'
_space_group_IT_number 65
_space_group_name_Hall '-C 2 2'
loop_
_atom_site_label
_atom_site_type_symbol
_atom_site_fract_x
_atom_site_fract_y
_atom_site_fract_z
Li1 Li 0.0000 0.0000 0.2270
Cd1 Cd 0.0000 0.5000 0.5000
Os1 Os 0.0000 0.5000 0.0000
# Fermi-level density of states   1.184 states/eV/f.u.
# Energy of formation   11 kJ/mol of atoms

---

(8)
# AcPm5Sm2Ho | Alexandria via LeMat-Bulk | GGA-PBE | optimized geometry
data_AcPm5Sm2Ho
_cell_length_a 9.0088
_cell_length_b 9.0088
_cell_length_c 15.7109
_cell_angle_alpha 90.00
_cell_angle_beta 90.00
_cell_angle_gamma 90.00
_space_group_name_H-M_alt 'I 4/m c m'
_space_group_IT_number 140
_space_group_name_Hall '-I 4 2c'
loop_
_atom_site_label
_atom_site_type_symbol
_atom_site_fract_x
_atom_site_fract_y
_atom_site_fract_z
Ac1 Ac 0.0000 0.0000 0.2500
Pm1 Pm 0.0000 0.0000 0.0000
Pm2 Pm 0.2041 0.2959 0.1324
Sm1 Sm 0.1158 0.3842 0.5000
Ho1 Ho 0.0000 0.5000 0.2500
# Fermi-level density of states   11.286 states/eV/f.u.
# Energy of formation   25 kJ/mol of atoms

---

(9)
# BaLaBeV2 | Alexandria via LeMat-Bulk | GGA-PBE | optimized geometry
data_BaLaBeV2
_cell_length_a 4.8372
_cell_length_b 4.8372
_cell_length_c 6.1437
_cell_angle_alpha 90.00
_cell_angle_beta 90.00
_cell_angle_gamma 90.00
_space_group_name_H-M_alt 'P 4/m m m'
_space_group_IT_number 123
_space_group_name_Hall '-P 4 2'
loop_
_atom_site_label
_atom_site_type_symbol
_atom_site_fract_x
_atom_site_fract_y
_atom_site_fract_z
Ba1 Ba 0.0000 0.0000 0.0000
La1 La 0.0000 0.0000 0.5000
Be1 Be 0.5000 0.5000 0.0000
V1 V 0.0000 0.5000 0.5000
# Fermi-level density of states   7.836 states/eV/f.u.
# Energy of formation   180 kJ/mol of atoms

---

(10)
# KTa2Si | Alexandria via LeMat-Bulk | GGA-PBE | optimized geometry
data_KTa2Si
_cell_length_a 3.5536
_cell_length_b 4.5985
_cell_length_c 10.2720
_cell_angle_alpha 90.00
_cell_angle_beta 90.00
_cell_angle_gamma 90.00
_space_group_name_H-M_alt 'C m m 2'
_space_group_IT_number 35
_space_group_name_Hall 'C 2 -2'
loop_
_atom_site_label
_atom_site_type_symbol
_atom_site_fract_x
_atom_site_fract_y
_atom_site_fract_z
K1 K 0.0000 0.0000 0.0000
Ta1 Ta 0.0000 0.0000 0.4511
Ta2 Ta 0.0000 0.5000 0.6688
Si1 Si 0.0000 0.5000 0.2611
# Fermi-level density of states   3.335 states/eV/f.u.
# ΔE_f (raw)   1.4 eV/f.u.

---

(11)
# LiBr3 | Alexandria via LeMat-Bulk | GGA-PBE | optimized geometry
data_LiBr3
_cell_length_a 3.9575
_cell_length_b 8.7095
_cell_length_c 3.9523
_cell_angle_alpha 90.00
_cell_angle_beta 90.00
_cell_angle_gamma 90.00
_space_group_name_H-M_alt 'P m m 2'
_space_group_IT_number 25
_space_group_name_Hall 'P 2 -2'
loop_
_atom_site_label
_atom_site_type_symbol
_atom_site_fract_x
_atom_site_fract_y
_atom_site_fract_z
Li1 Li 0.0000 0.0000 0.0000
Br1 Br 0.0000 0.5000 0.5873
Br2 Br 0.5000 0.0000 0.5065
Br3 Br 0.5000 0.5000 0.0872
# Fermi-level density of states   0.786 states/eV/f.u.
# ΔE_f (raw)   -2.3 eV/f.u.

---

(12)
# Cd4SF6 | Alexandria via LeMat-Bulk | GGA-PBE | optimized geometry
data_Cd4SF6
_cell_length_a 3.9007
_cell_length_b 3.9007
_cell_length_c 37.8005
_cell_angle_alpha 90.00
_cell_angle_beta 90.00
_cell_angle_gamma 120.00
_space_group_name_H-M_alt 'R -3 m'
_space_group_IT_number 166
_space_group_name_Hall '-R 3 2"'
loop_
_atom_site_label
_atom_site_type_symbol
_atom_site_fract_x
_atom_site_fract_y
_atom_site_fract_z
Cd1 Cd 0.0000 0.0000 0.1260
Cd2 Cd 0.0000 0.0000 0.2917
S1 S 0.0000 0.0000 0.5000
F1 F 0.0000 0.0000 0.0630
F2 F 0.0000 0.0000 0.2296
F3 F 0.0000 0.0000 0.3543
# ΔE_f (raw)   -20.8 eV/f.u.

---

no.,magnetization (μB/f.u.)
1,0.0
2,0.0
3,2.4
4,0.0
5,3.1
6,1.6
7,0.0
8,0.0
9,4.2
10,0.0
11,0.0
12,0.0